3
Lattice="-3.2383 0.2316 -2.3099 -3.3910 -1.7533 1.1416 -3.1055 2.2209 1.1399" Properties=species:S:1:pos:R:3 comment="MnZnIr | Alexandria via LeMat-Bulk | PBE | relaxed" n_ef_per_ev_atom=0.82 e_tot_ev_per_fu=-18.48 volume_a3_per_cell=44.7 space_group="F-43m, No. 216" pbc="T T T"
Mn -7.3011 0.5243 -0.0213
Ir -4.8674 0.3496 -0.0142
Zn 0.0000 0.0000 0.0000